Entry 1:
VASP calculation (PBE-GGA) on a relaxed structure of MoRhPb2.

Structure (CIF):
```
data_MoRhPb2
_cell_length_a 4.7566
_cell_length_b 4.7566
_cell_length_c 3.4340
_cell_angle_alpha 90.00
_cell_angle_beta 90.00
_cell_angle_gamma 90.00
_space_group_name_H-M_alt 'P 4/m m m'
_space_group_IT_number 123
_space_group_name_Hall '-P 4 2'
loop_
_atom_site_label
_atom_site_fract_x
_atom_site_fract_y
_atom_site_fract_z
Mo1 0.0000 0.0000 0.0000
Rh1 0.5000 0.5000 0.0000
Pb1 0.0000 0.5000 0.5000
```

Output
- calculated total energy (eV per cell) = -23.889



Entry 2:
VASP calculation (PBE-GGA) on a relaxed structure of MoRhPb3.

Structure (CIF):
```
data_MoRhPb3
_cell_length_a 5.2570
_cell_length_b 5.2570
_cell_length_c 5.2570
_cell_angle_alpha 90.00
_cell_angle_beta 90.00
_cell_angle_gamma 90.00
_space_group_name_H-M_alt 'P m -3 m'
_space_group_IT_number 221
_space_group_name_Hall '-P 4 2 3'
loop_
_atom_site_label
_atom_site_fract_x
_atom_site_fract_y
_atom_site_fract_z
Mo1 0.0000 0.0000 0.0000
Rh1 0.5000 0.5000 0.5000
Pb1 0.0000 0.5000 0.5000
```

Output
- calculated total energy (eV per cell) = -24.690



Entry 3:
VASP calculation (PBE-GGA) on a relaxed structure of MoRh2Pb.

Structure (CIF):
```
data_MoRh2Pb
_cell_length_a 2.9527
_cell_length_b 2.9527
_cell_length_c 7.8680
_cell_angle_alpha 90.00
_cell_angle_beta 90.00
_cell_angle_gamma 90.00
_space_group_name_H-M_alt 'P 4/m m m'
_space_group_IT_number 123
_space_group_name_Hall '-P 4 2'
loop_
_atom_site_label
_atom_site_fract_x
_atom_site_fract_y
_atom_site_fract_z
Mo1 0.0000 0.0000 0.0000
Rh1 0.5000 0.5000 0.2217
Pb1 0.0000 0.0000 0.5000
```

Output
- calculated total energy (eV per cell) = -28.938



Entry 4:
VASP calculation (PBE-GGA) on a relaxed structure of Mo2RhPb.

Structure (CIF):
```
data_Mo2RhPb
_cell_length_a 2.9636
_cell_length_b 4.0132
_cell_length_c 5.9387
_cell_angle_alpha 90.00
_cell_angle_beta 92.05
_cell_angle_gamma 90.00
_space_group_name_H-M_alt 'P 1 m 1'
_space_group_IT_number 6
_space_group_name_Hall 'P -2y'
loop_
_atom_site_label
_atom_site_fract_x
_atom_site_fract_y
_atom_site_fract_z
Mo1 0.0000 0.0000 0.0000
Mo2 0.3461 0.5000 0.2078
Rh1 0.4526 0.5000 0.7505
Pb1 0.9156 0.0000 0.5017
```

Output
- calculated total energy (eV per cell) = -31.320



Energy of formation in eV/atom, matching the order above: 0.428, 0.924, 0.076, 0.351